1.
GGA-PBE Rb2HfAlCl6, relaxed; symmetry = Fm-3m, No. 225; crystal system = cubic; total moment = 1.00 μB per formula unit; formation energy (no corrections) = -1.479 eV/atom
1.0
-6.233 0.277 -4.464
-4.473 -0.352 6.223
-5.339 5.380 1.196
Hf Al Rb Cl
1 1 2 6
Direct
0.000 0.000 0.000
0.500 0.500 0.000
0.750 0.250 0.500
0.250 0.750 0.500
0.232 0.232 0.536
0.768 0.768 0.464
0.232 0.232 0.000
0.768 0.768 0.000
0.768 0.232 0.000
0.232 0.768 0.000


2.
GGA-PBE Be3TlAs, relaxed; symmetry = Pm-3m, No. 221; crystal system = cubic; total moment = 0.00 μB per formula unit; DFT formation energy = 1.2846 eV/atom; energy above the most stable polymorph in this dataset = 480 meV per atom
1.0
-2.852 0.356 3.536
-1.026 -4.423 -0.382
3.402 -1.036 2.849
Be Tl As
3 1 1
Direct
0.000 0.500 0.000
0.000 0.000 0.500
0.500 0.000 0.000
0.000 0.000 0.000
0.500 0.500 0.500


3.
GGA-PBE Cr3B4W3, relaxed; symmetry = Amm2, No. 38; crystal system = orthorhombic; total moment = 0.00 μB per formula unit; DFT formation energy = -0.3967 eV/atom
1.0
3.098 0.000 0.000
0.000 5.774 -0.014
0.000 0.036 5.774
Cr B W
3 4 3
Direct
0.000 0.495 0.998
0.000 0.002 0.505
0.500 0.175 0.825
0.000 0.615 0.385
0.000 0.376 0.624
0.000 0.895 0.881
0.000 0.119 0.105
0.500 0.826 0.174
0.500 0.320 0.324
0.500 0.676 0.680


4.
GGA-PBE Tb2PuBi, relaxed; symmetry = P4/mmm, No. 123; crystal system = tetragonal; total moment = 6.75 μB per formula unit; DFT formation energy = -0.2347 eV/atom; energy above the most stable polymorph in this dataset = 46 meV per atom
1.0
4.034 0.000 0.000
0.000 4.034 0.000
0.000 0.000 7.242
Tb Bi Pu
2 1 1
Direct
0.000 0.000 0.766
0.000 0.000 0.234
0.500 0.500 0.000
0.500 0.500 0.500


5.
GGA-PBE Ac3DyHg2, relaxed; symmetry = P4/mmm, No. 123; crystal system = tetragonal; total moment = 0.00 μB per formula unit; DFT formation energy = -0.2820 eV/atom
1.0
-2.759 -0.119 2.896
2.368 -2.399 2.157
5.490 10.509 5.661
Ac Dy Hg
3 1 2
Direct
0.000 0.000 0.000
0.000 0.000 0.689
0.000 0.000 0.311
0.500 0.500 0.500
0.500 0.500 0.840
0.500 0.500 0.160


6.
GGA-PBE Zr2MoRh, relaxed; symmetry = R3m, No. 160; crystal system = trigonal; total moment = 0.00 μB per formula unit; DFT formation energy = 0.1033 eV/atom
1.0
-5.573 2.085 -7.475
-3.880 -0.114 -8.731
-6.346 -0.837 -7.094
Mo Rh Zr
1 1 2
Direct
0.493 0.493 0.493
0.755 0.755 0.755
0.006 0.006 0.006
0.247 0.247 0.247


7.
GGA-PBE CaTb2Mg6, relaxed; symmetry = P6/mmm, No. 191; crystal system = hexagonal; total moment = 0.00 μB per formula unit; DFT formation energy = -0.0589 eV/atom
1.0
-8.301 -2.441 -2.936
5.845 -6.360 2.979
-1.201 0.351 3.105
Ca Tb Mg
1 2 6
Direct
0.000 0.000 0.000
0.333 0.667 0.000
0.667 0.333 0.000
0.664 0.000 0.500
0.000 0.664 0.500
0.336 0.000 0.500
0.664 0.664 0.500
0.000 0.336 0.500
0.336 0.336 0.500


8.
GGA-PBE ZnAgRu, relaxed; symmetry = P3m1, No. 156; crystal system = trigonal; total moment = 0.00 μB per formula unit; DFT formation energy = 0.2009 eV/atom; energy above the most stable polymorph in this dataset = 237 meV per atom
1.0
2.785 0.000 0.000
-1.393 2.412 0.000
0.000 0.000 6.786
Ag Ru Zn
1 1 1
Direct
0.000 0.000 0.995
0.667 0.333 0.348
0.333 0.667 0.657


9.
GGA-PBE TiIn3Pd4, relaxed; symmetry = Pmma, No. 51; crystal system = orthorhombic; total moment = 0.00 μB per formula unit; DFT formation energy = -0.5174 eV/atom
1.0
-1.655 -1.547 -4.031
-1.758 -5.584 2.865
-8.265 3.629 2.002
In Pd Ti
6 8 2
Direct
0.000 0.000 0.000
0.000 0.000 0.500
0.501 0.000 0.750
0.499 0.000 0.250
0.501 0.500 0.750
0.499 0.500 0.250
0.500 0.737 0.000
0.500 0.737 0.500
0.500 0.263 0.000
0.500 0.263 0.500
0.002 0.737 0.750
0.998 0.737 0.250
0.998 0.263 0.250
0.002 0.263 0.750
0.000 0.500 0.000
0.000 0.500 0.500


10.
GGA-PBE SrGa3Si3, relaxed; symmetry = Pm-3n, No. 223; crystal system = cubic; total moment = 0.00 μB per formula unit; formation energy (no corrections) = -0.038 eV/atom
1.0
6.926 0.000 0.000
0.000 6.926 0.000
0.000 0.000 6.926
Sr Si Ga
2 6 6
Direct
0.500 0.500 0.500
0.000 0.000 0.000
0.250 0.000 0.500
0.000 0.500 0.250
0.500 0.750 0.000
0.750 0.000 0.500
0.000 0.500 0.750
0.500 0.250 0.000
0.000 0.250 0.500
0.000 0.750 0.500
0.500 0.000 0.750
0.750 0.500 0.000
0.500 0.000 0.250
0.250 0.500 0.000


11.
GGA-PBE ScCBr, relaxed; symmetry = Cm, No. 8; crystal system = monoclinic; total moment = 0.00 μB per formula unit; formation energy (no corrections) = -0.741 eV/atom
1.0
3.897 0.000 0.004
0.000 5.699 0.000
-3.836 0.000 11.536
Sc C Br
4 4 4
Direct
0.581 0.000 0.629
0.581 0.500 0.129
0.990 0.000 0.035
0.990 0.500 0.535
0.004 0.616 0.050
0.004 0.384 0.050
0.004 0.116 0.550
0.004 0.884 0.550
0.316 0.000 0.858
0.316 0.500 0.358
0.658 0.000 0.205
0.658 0.500 0.705


12.
GGA-PBE RbPdICl2, relaxed; symmetry = P4/mmm, No. 123; crystal system = tetragonal; total moment = 0.00 μB per formula unit; formation energy (no corrections) = -0.905 eV/atom
1.0
-0.214 2.970 -4.135
1.499 -3.918 -2.892
-5.292 -1.455 -0.771
I Rb Pd Cl
1 1 1 2
Direct
0.000 0.000 0.500
0.500 0.500 0.500
0.000 0.000 0.000
0.000 0.500 0.000
0.500 0.000 0.000


- Number 11 is which compound?
  ScCBr